1.
This record from Alexandria via LeMat-Bulk describes a relaxed structure of Mn4O7F. The functional is GGA-PBEsol.

Properties
**Calculated total energy**: -8.168 eV per atom
**Crystal system**: monoclinic
**Uncorrected formation energy**: -1.69 eV per atom

Unit cell a=4.833 b=5.363 c=8.698 alpha=91.04 beta=90.00 gamma=90.00
Last column: magnetic moment on the atom in μB.
Atoms (fractional coordinates):
1 O 0.926 0.365 0.505  0.06
2 O 0.925 0.864 0.494  0.09
3 O 0.078 0.138 0.738  0.08
4 O 0.578 0.862 0.262  0.08
5 O 0.582 0.362 0.740  0.07
6 O 0.426 0.635 0.495  0.06
7 O 0.409 0.136 0.009  0.06
8 O 0.420 0.638 0.987  0.04
9 O 0.082 0.638 0.260  0.07
10 O 0.920 0.362 0.013  0.04
11 O 0.076 0.632 0.758  0.07
12 O 0.425 0.136 0.506  0.09
13 O 0.576 0.368 0.242  0.07
14 O 0.909 0.864 0.991  0.06
15 Mn 0.758 0.584 0.880  3.07
16 Mn 0.252 0.394 0.627  2.92
17 Mn 0.231 0.900 0.877  3.17
18 Mn 0.258 0.416 0.120  3.07
19 Mn 0.759 0.118 0.615  2.86
20 Mn 0.259 0.882 0.385  2.86
21 Mn 0.752 0.606 0.373  2.92
22 Mn 0.731 0.100 0.123  3.17
23 F 0.083 0.129 0.248  0.04
24 F 0.583 0.871 0.752  0.04

2.
This record from Alexandria via LeMat-Bulk describes a relaxed structure of Mn2O3F. The functional is GGA-PBEsol.

Properties
**Calculated total energy**: -7.961 eV per atom
**Crystal system**: triclinic
**Uncorrected formation energy**: -1.76 eV per atom

Unit cell a=4.493 b=5.883 c=9.449 alpha=71.90 beta=88.77 gamma=89.97
Last column: magnetic moment on the atom in μB.
Atoms (fractional coordinates):
1 O 0.301 0.327 0.346  0.07
2 O 0.304 0.828 0.344  0.07
3 O 0.698 0.174 0.656  0.07
4 O 0.313 0.578 0.846  0.08
5 O 0.182 0.203 0.092  0.06
6 O 0.705 0.675 0.652  0.05
7 O 0.807 0.801 0.902  0.06
8 O 0.197 0.953 0.595  0.06
9 O 0.806 0.299 0.902  0.03
10 O 0.688 0.426 0.152  0.07
11 O 0.683 0.921 0.154  0.05
12 O 0.811 0.545 0.409  0.04
13 Mn 0.522 0.615 0.263  3.07
14 Mn 0.532 0.382 0.754  3.20
15 Mn 0.990 0.501 0.994  3.25
16 Mn 0.967 0.999 0.005  3.28
17 Mn 0.003 0.246 0.501  3.53
18 Mn 0.510 0.872 0.744  3.16
19 Mn 0.011 0.755 0.497  3.54
20 Mn 0.469 0.134 0.237  3.07
21 F 0.781 0.054 0.391  0.07
22 F 0.217 0.444 0.608  0.08
23 F 0.302 0.072 0.853  0.03
24 F 0.199 0.698 0.103  0.04